# 1
VASP calculation (GGA-PBE) on crystalline HgOs2Pt at its relaxed geometry.

Lattice parameters (Å, degrees): 2.8117 2.8117 28.1560 90.00 90.00 120.00
Closest atoms and distances in Å follow each position.
Space group R-3m (No. 166, hexagonal axes)
Symmetry-distinct sites (fractional):
Hg 0.0000 0.0000 0.0000  6 Hg 2.81, 6 Os 2.97
Os 0.0000 0.0000 0.2449  3 Pt 2.74, 6 Os 2.81, 3 Hg 2.97
Pt 0.0000 0.0000 0.5000  6 Os 2.74, 6 Pt 2.81

Results
DFT formation energy, kJ per mole of atoms: 58
M_tot, Bohr magnetons per cell: 0.00

# 2
VASP calculation (GGA-PBE) on crystalline LaYAs at its relaxed geometry.

Lattice parameters (Å, degrees): 5.2173 5.2261 12.8482 90.00 90.00 90.00
Closest atoms and distances in Å follow each position.
Space group Fmm2 (No. 42)
Symmetry-distinct sites (fractional):
La 0.0000 0.0000 0.0000  4 As 3.18, 1 Y 3.34
Y 0.0000 0.0000 0.2603  4 As 3.03, 1 La 3.34
As 0.0000 0.0000 0.6409  4 Y 3.03, 4 La 3.18

Results
DFT formation energy, kJ per mole of atoms: -73
M_tot, Bohr magnetons per cell: 0.00

# 3
VASP calculation (GGA-PBE) on crystalline NaEuHoCd at its relaxed geometry.

Lattice parameters (Å, degrees): 7.8423 7.8423 7.8423 90.00 90.00 90.00
Closest atoms and distances in Å follow each position.
Space group F-43m (No. 216)
Symmetry-distinct sites (fractional):
Na 0.0000 0.0000 0.0000  4 Eu 3.40, 4 Ho 3.40
Eu 0.2500 0.2500 0.7500  4 Cd 3.40, 4 Na 3.40
Ho 0.2500 0.2500 0.2500  4 Cd 3.40, 4 Na 3.40
Cd 0.0000 0.0000 0.5000  4 Ho 3.40, 4 Eu 3.40

Results
DFT formation energy, kJ per mole of atoms: 1
M_tot, Bohr magnetons per cell: 29.27

# 4
VASP calculation (GGA-PBE) on crystalline KRuAu at its relaxed geometry.

Lattice parameters (Å, degrees): 2.7277 4.4928 11.7097 90.00 90.00 90.00
Closest atoms and distances in Å follow each position.
Space group Imm2 (No. 44)
Symmetry-distinct sites (fractional):
K 0.0000 0.0000 0.0000  2 K 2.73
Ru 0.0000 0.0000 0.2748  4 Au 2.70, 2 Ru 2.73
Au 0.0000 0.0000 0.7217  4 Ru 2.70, 2 Au 2.73

Results
DFT formation energy, kJ per mole of atoms: 53
E above lowest polymorph, meV/atom: 0
M_tot, Bohr magnetons per cell: 0.61

# 5
VASP calculation (GGA-PBE) on crystalline SmY4Tm7 at its relaxed geometry.

Lattice parameters (Å, degrees): 11.9971 5.8108 12.6187 90.00 118.22 90.00
Closest atoms and distances in Å follow each position.
Space group C2/m (No. 12)
Symmetry-distinct sites (fractional):
Sm 0.0000 0.0000 0.0000  4 Tm 2.91-3.10
Y 0.1323 0.5000 0.7753  7 Tm 3.34-3.56, 2 Y 3.64
Y 0.2462 0.0000 0.6819  4 Tm 3.25-3.54, 2 Y 3.64
Tm 0.0000 0.5000 0.0000  2 Sm 2.91, 2 Tm 3.13
Tm 0.0616 0.0000 0.3255  4 Tm 3.25-3.51, 2 Y 3.56
Tm 0.1345 0.5000 0.5016  4 Tm 3.21-3.51, 5 Y 3.25-3.54
Tm 0.2110 0.0000 0.9237  1 Sm 3.10, 4 Tm 3.13-3.36, 4 Y 3.27-3.35

Results
DFT formation energy, kJ per mole of atoms: 28
E above lowest polymorph, meV/atom: 204
M_tot, Bohr magnetons per cell: 0.00

# 6
VASP calculation (GGA-PBE) on crystalline CaCd17In at its relaxed geometry.

Lattice parameters (Å, degrees): 10.2425 10.2425 15.0737 90.00 90.00 120.00
Closest atoms and distances in Å follow each position.
Space group R3m (No. 160, hexagonal axes)
Symmetry-distinct sites (fractional):
Ca 0.0000 0.0000 0.0000  16 Cd 3.58-3.75
Cd 0.0000 0.0000 0.5509  7 Cd 3.04-3.37
Cd 0.0000 0.0000 0.7525  4 Cd 2.92-3.04
Cd 0.0347 0.3663 0.3309  8 Cd 2.93-3.26
Cd 0.1748 0.3497 0.1399  9 Cd 2.92-3.26
Cd 0.1856 0.3712 0.5047  9 Cd 2.92-3.12
Cd 0.1924 0.3849 0.8481  8 Cd 2.92-3.26
In 0.0000 0.0000 0.3249  13 Cd 3.31-3.59

Results
DFT formation energy, kJ per mole of atoms: -4
M_tot, Bohr magnetons per cell: 0.00